(1)
DFT (PBE) results for a relaxed structure of AlIn2Hg7.

The space group is C2/c (No. 15) and the conventional cell measures 15.679, 7.589 and 11.412 Å, with angles of 90.00, 130.30 and 90.00 degrees. The inequivalent atoms are Al at (0.000, 0.180, 0.250), In at (0.187, 0.209, 0.108), Hg at (0.000, 0.192, 0.750), Hg at (0.089, 0.173, 0.557), Hg at (0.089, 0.474, 0.207) and Hg at (0.232, 0.061, 0.416).

Its formation energy from the elements is 55 meV per atom.


(2)
DFT (PBE) results for a relaxed structure of AlIn2Hg.

The space group is R3m (No. 160, hexagonal axes) and the conventional cell measures 3.3270, 3.3270 and 30.0185 Å, with angles of 90.00, 90.00 and 120.00 degrees. The inequivalent atoms are Al at (0.0000, 0.0000, 0.0000), In at (0.0000, 0.0000, 0.5063), In at (0.0000, 0.0000, 0.7472) and Hg at (0.0000, 0.0000, 0.2597).

The calculation puts the energy above the most stable polymorph in this dataset at 9 meV per atom. Its formation energy from the elements is 102 meV per atom.


(3)
DFT (PBE) results for a relaxed structure of AlIn2Hg.

The space group is Fm-3m (No. 225) and the conventional cell measures 7.321, 7.321 and 7.321 Å, with angles of 90.00, 90.00 and 90.00 degrees. The inequivalent atoms are Al at (0.000, 0.000, 0.000), In at (0.250, 0.250, 0.250) and Hg at (0.000, 0.000, 0.500).

The calculation puts the energy above the most stable polymorph in this dataset at 56 meV per atom. Its formation energy from the elements is 149 meV per atom.


(4)
DFT (PBE) results for a relaxed structure of AlIn2Hg.

The space group is P4mm (No. 99) and the conventional cell measures 3.485, 3.485 and 7.937 Å, with angles of 90.00, 90.00 and 90.00 degrees. The inequivalent atoms are Al at (0.000, 0.000, 0.000), In at (0.000, 0.000, 0.479), In at (0.500, 0.500, 0.767) and Hg at (0.500, 0.500, 0.207).

The calculation puts the energy above the most stable polymorph in this dataset at 22 meV per atom. Its formation energy from the elements is 115 meV per atom.


(5)
DFT (PBE) results for a relaxed structure of AlInHg2.

The space group is P4/mmm (No. 123) and the conventional cell measures 3.237, 3.237 and 9.021 Å, with angles of 90.00, 90.00 and 90.00 degrees. The inequivalent atoms are Al at (0.000, 0.000, 0.000), In at (0.000, 0.000, 0.500) and Hg at (0.500, 0.500, 0.220).

The calculation puts the energy above the most stable polymorph in this dataset at 44 meV per atom. Its formation energy from the elements is 118 meV per atom.


(6)
DFT (PBE) results for a relaxed structure of AlInHg2.

The space group is Pm (No. 6) and the conventional cell measures 3.564, 4.822 and 5.875 Å, with angles of 90.00, 106.74 and 90.00 degrees. The inequivalent atoms are Al at (0.000, 0.000, 0.000), In at (0.403, 0.500, 0.800), Hg at (0.122, 0.500, 0.268) and Hg at (0.736, 0.000, 0.489).

The calculation puts the energy above the most stable polymorph in this dataset at 50 meV per atom. Its formation energy from the elements is 124 meV per atom.


(7)
DFT (PBE) results for a relaxed structure of Al2In2Hg.

The space group is I4/mmm (No. 139) and the conventional cell measures 4.442, 4.442 and 12.548 Å, with angles of 90.00, 90.00 and 90.00 degrees. The inequivalent atoms are Al at (0.000, 0.000, 0.102), In at (0.000, 0.500, 0.250) and Hg at (0.000, 0.000, 0.500).

The calculation puts the energy above the most stable polymorph in this dataset at 66 meV per atom. Its formation energy from the elements is 196 meV per atom.


(8)
DFT (PBE) results for a relaxed structure of Al3In5Hg12.

The space group is Ia-3d (No. 230) and the conventional cell measures 16.774, 16.774 and 16.774 Å, with angles of 90.00, 90.00 and 90.00 degrees. The inequivalent atoms are Al at (0.000, 0.250, 0.125), In at (0.000, 0.000, 0.000), In at (0.000, 0.250, 0.375) and Hg at (0.020, 0.091, 0.651).

Its formation energy from the elements is 179 meV per atom.


(9)
DFT (PBE) results for a relaxed structure of AlInHg2.

The space group is Pmm2 (No. 25) and the conventional cell measures 3.295, 4.787 and 6.005 Å, with angles of 90.00, 90.00 and 90.00 degrees. The inequivalent atoms are Al at (0.000, 0.000, 0.000), In at (0.500, 0.500, 0.733), Hg at (0.000, 0.000, 0.491) and Hg at (0.500, 0.500, 0.223).

The calculation puts the energy above the most stable polymorph in this dataset at 62 meV per atom. Its formation energy from the elements is 136 meV per atom.


(10)
DFT (PBE) results for a relaxed structure of AlIn2Hg6.

The space group is P2_1/c (No. 14) and the conventional cell measures 6.213, 7.731 and 10.845 Å, with angles of 90.00, 116.31 and 90.00 degrees. The inequivalent atoms are Al at (0.000, 0.000, 0.000), In at (0.350, 0.046, 0.819), Hg at (0.187, 0.024, 0.285), Hg at (0.221, 0.677, 0.045) and Hg at (0.351, 0.222, 0.562).

Its formation energy from the elements is 56 meV per atom.


(11)
DFT (PBE) results for a relaxed structure of AlIn3Hg.

The space group is Pm-3m (No. 221) and the conventional cell measures 5.542, 5.542 and 5.542 Å, with angles of 90.00, 90.00 and 90.00 degrees. The inequivalent atoms are Al at (0.000, 0.000, 0.000), In at (0.000, 0.500, 0.500) and Hg at (0.500, 0.500, 0.500).

The calculation puts the energy above the most stable polymorph in this dataset at 293 meV per atom. Its formation energy from the elements is 572 meV per atom.


(12)
DFT (PBE) results for a relaxed structure of AlInHg.

The space group is Fmm2 (No. 42) and the conventional cell measures 3.251, 5.702 and 15.200 Å, with angles of 90.00, 90.00 and 90.00 degrees. The inequivalent atoms are Al at (0.000, 0.000, 0.000), In at (0.000, 0.000, 0.340) and Hg at (0.000, 0.000, 0.657).

Its formation energy from the elements is 156 meV per atom.


Question: Which of these has the highest formation energy from the elements?
Answer: AlIn3Hg


Question: formation energy from the elements of number 2 (AlIn2Hg)?
Answer: 102 meV per atom


Repeat the eighth record exactly.
DFT (PBE) results for a relaxed structure of Al3In5Hg12.

The space group is Ia-3d (No. 230) and the conventional cell measures 16.774, 16.774 and 16.774 Å, with angles of 90.00, 90.00 and 90.00 degrees. The inequivalent atoms are Al at (0.000, 0.250, 0.125), In at (0.000, 0.000, 0.000), In at (0.000, 0.250, 0.375) and Hg at (0.020, 0.091, 0.651).

Its formation energy from the elements is 179 meV per atom.


Question: Look up the formation energy from the elements of the fifth one.
Answer: 118 meV per atom